Entry 1:
HfScTe2: optimized geometry, PBE.

The structure in CIF format:
```
data_HfScTe2
_chemical_formula_sum 'Hf3 Sc3 Te6'
_cell_length_a 3.8103
_cell_length_b 3.8103
_cell_length_c 28.4069
_cell_angle_alpha 90.00
_cell_angle_beta 90.00
_cell_angle_gamma 120.00
_space_group_name_H-M_alt 'R -3 m'
_space_group_IT_number 166
_space_group_name_Hall '-R 3 2"'
loop_
_atom_site_label
_atom_site_type_symbol
_atom_site_fract_x
_atom_site_fract_y
_atom_site_fract_z
Hf1 Hf 0.0000 0.0000 0.0000
Sc1 Sc 0.0000 0.0000 0.5000
Te1 Te 0.0000 0.0000 0.3985
```

Values from the calculation:
For the spin magnetization, the calculation gives 0.00 μB per formula unit. The distance to the lowest polymorph of the same formula is 1.062 eV per formula unit. Its formation energy without anion corrections is -0.435 eV/atom.

=====

Entry 2:
KMnGe: optimized geometry, PBE.

The structure in CIF format:
```
data_KMnGe
_chemical_formula_sum 'K2 Mn2 Ge2'
_cell_length_a 4.082
_cell_length_b 4.082
_cell_length_c 10.523
_cell_angle_alpha 90.00
_cell_angle_beta 90.00
_cell_angle_gamma 90.00
_space_group_name_H-M_alt 'P 4/n m m'
_space_group_IT_number 129
loop_
_space_group_symop_operation_xyz
'x,y,z'
'-x,-y,-z'
'-y+1/2,x,z'
'y+1/2,-x,-z'
'-x+1/2,-y+1/2,z'
'x+1/2,y+1/2,-z'
'y,-x+1/2,z'
'-y,x+1/2,-z'
'x+1/2,-y,-z'
'-x+1/2,y,z'
'-y,-x,-z'
'y,x,z'
'-x,y+1/2,-z'
'x,-y+1/2,z'
'y+1/2,x+1/2,-z'
'-y+1/2,-x+1/2,z'
loop_
_atom_site_label
_atom_site_type_symbol
_atom_site_fract_x
_atom_site_fract_y
_atom_site_fract_z
K1 K 0.250 0.250 0.202
Mn1 Mn 0.250 0.750 0.500
Ge1 Ge 0.250 0.250 0.626
```

Values from the calculation:
The value obtained for the formation energy from the elements is -1.9 meV/atom. For the spin magnetization, the calculation gives 2.31 μB per formula unit.

=====

Entry 3:
LaEuPb4: optimized geometry, PBE.

The structure in CIF format:
```
data_LaEuPb4
_chemical_formula_sum 'La4 Eu4 Pb16'
_cell_length_a 9.235
_cell_length_b 9.235
_cell_length_c 9.235
_cell_angle_alpha 90.00
_cell_angle_beta 90.00
_cell_angle_gamma 90.00
_space_group_name_H-M_alt 'F -4 3 m'
_space_group_IT_number 216
_space_group_name_Hall 'F -4 2 3'
loop_
_atom_site_label
_atom_site_type_symbol
_atom_site_fract_x
_atom_site_fract_y
_atom_site_fract_z
La1 La 0.000 0.000 0.000
Eu1 Eu 0.250 0.250 0.750
Pb1 Pb 0.125 0.125 0.375
```

Values from the calculation:
The value obtained for the formation energy from the elements is -317.3 meV/atom. For the spin magnetization, the calculation gives 7.69 μB per formula unit.

=====

Entry 4:
RbSr3Ca: optimized geometry, PBE.

The structure in CIF format:
```
data_RbSr3Ca
_chemical_formula_sum 'Rb1 Sr3 Ca1'
_cell_length_a 6.750
_cell_length_b 6.750
_cell_length_c 6.750
_cell_angle_alpha 90.00
_cell_angle_beta 90.00
_cell_angle_gamma 90.00
_space_group_name_H-M_alt 'P m -3 m'
_space_group_IT_number 221
_space_group_name_Hall '-P 4 2 3'
loop_
_atom_site_label
_atom_site_type_symbol
_atom_site_fract_x
_atom_site_fract_y
_atom_site_fract_z
Rb1 Rb 0.000 0.000 0.000
Sr1 Sr 0.000 0.000 0.500
Ca1 Ca 0.500 0.500 0.500
```

Values from the calculation:
The value obtained for the formation energy from the elements is 725.4 meV/atom. For the spin magnetization, the calculation gives 2.16 μB per formula unit. The distance to the lowest polymorph of the same formula is 1.364 eV per formula unit.

=====

Entry 5:
YCo2Se: optimized geometry, PBE.

The structure in CIF format:
```
data_YCo2Se
_chemical_formula_sum 'Y1 Co2 Se1'
_cell_length_a 3.840
_cell_length_b 3.963
_cell_length_c 4.826
_cell_angle_alpha 90.00
_cell_angle_beta 90.07
_cell_angle_gamma 90.00
_space_group_name_H-M_alt 'P 1 2/m 1'
_space_group_IT_number 10
_space_group_name_Hall '-P 2y'
loop_
_atom_site_label
_atom_site_type_symbol
_atom_site_fract_x
_atom_site_fract_y
_atom_site_fract_z
Y1 Y 0.000 0.000 0.000
Co1 Co 0.500 0.500 0.233
Se1 Se 0.500 0.000 0.500
```

Values from the calculation:
For the spin magnetization, the calculation gives 2.02 μB per formula unit. Its formation energy without anion corrections is -0.346 eV/atom.

=====

Entry 6:
Cu6GePd2: optimized geometry, PBE.

The structure in CIF format:
```
data_Cu6GePd2
_chemical_formula_sum 'Cu12 Ge2 Pd4'
_cell_length_a 7.552
_cell_length_b 4.983
_cell_length_c 6.602
_cell_angle_alpha 90.00
_cell_angle_beta 101.96
_cell_angle_gamma 90.00
_space_group_name_H-M_alt 'C 1 2/m 1'
_space_group_IT_number 12
_space_group_name_Hall '-C 2y'
loop_
_atom_site_label
_atom_site_type_symbol
_atom_site_fract_x
_atom_site_fract_y
_atom_site_fract_z
Cu1 Cu 0.033 0.245 0.190
Cu2 Cu 0.249 0.500 0.998
Ge1 Ge 0.000 0.500 0.500
Pd1 Pd 0.184 0.000 0.574
```

Values from the calculation:
The value obtained for the formation energy from the elements is -80.3 meV/atom. For the spin magnetization, the calculation gives 0.00 μB per formula unit. The distance to the lowest polymorph of the same formula is 0.000 eV per formula unit.

=====

Entry 7:
CdCuIr2: optimized geometry, PBE.

The structure in CIF format:
```
data_CdCuIr2
_chemical_formula_sum 'Cd4 Cu4 Ir8'
_cell_length_a 3.825
_cell_length_b 3.825
_cell_length_c 18.663
_cell_angle_alpha 90.00
_cell_angle_beta 90.00
_cell_angle_gamma 90.00
_space_group_name_H-M_alt 'I -4 2 d'
_space_group_IT_number 122
_space_group_name_Hall 'I -4 2bw'
loop_
_atom_site_label
_atom_site_type_symbol
_atom_site_fract_x
_atom_site_fract_y
_atom_site_fract_z
Cd1 Cd 0.000 0.000 0.000
Cu1 Cu 0.000 0.000 0.500
Ir1 Ir 0.204 0.250 0.625
```

Values from the calculation:
The value obtained for the formation energy from the elements is 555.1 meV/atom. For the spin magnetization, the calculation gives 0.00 μB per formula unit.

=====

Entry 8:
Tb4NdZn: optimized geometry, PBE.

The structure in CIF format:
```
data_Tb4NdZn
_chemical_formula_sum 'Tb16 Nd4 Zn4'
_cell_length_a 8.909
_cell_length_b 13.621
_cell_length_c 6.252
_cell_angle_alpha 90.00
_cell_angle_beta 108.93
_cell_angle_gamma 90.00
_space_group_name_H-M_alt 'C 1 2/c 1'
_space_group_IT_number 15
_space_group_name_Hall '-C 2yc'
loop_
_atom_site_label
_atom_site_type_symbol
_atom_site_fract_x
_atom_site_fract_y
_atom_site_fract_z
Tb1 Tb 0.105 0.181 0.052
Tb2 Tb 0.225 0.391 0.371
Nd1 Nd 0.000 0.401 0.750
Zn1 Zn 0.000 0.000 0.250
```

Values from the calculation:
The value obtained for the formation energy from the elements is -4.1 meV/atom. For the spin magnetization, the calculation gives 0.00 μB per formula unit. The distance to the lowest polymorph of the same formula is 0.567 eV per formula unit.

=====

Entry 9:
Zr11Ni4Pd9: optimized geometry, PBE.

The structure in CIF format:
```
data_Zr11Ni4Pd9
_chemical_formula_sum 'Zr22 Ni8 Pd18'
_cell_length_a 12.550
_cell_length_b 20.450
_cell_length_c 3.335
_cell_angle_alpha 90.00
_cell_angle_beta 90.00
_cell_angle_gamma 90.00
_space_group_name_H-M_alt 'C m m m'
_space_group_IT_number 65
_space_group_name_Hall '-C 2 2'
loop_
_atom_site_label
_atom_site_type_symbol
_atom_site_fract_x
_atom_site_fract_y
_atom_site_fract_z
Zr1 Zr 0.000 0.000 0.000
Zr2 Zr 0.000 0.176 0.000
Zr3 Zr 0.000 0.372 0.000
Zr4 Zr 0.207 0.500 0.000
Zr5 Zr 0.233 0.169 0.000
Ni1 Ni 0.155 0.405 0.500
Pd1 Pd 0.000 0.500 0.500
Pd2 Pd 0.113 0.271 0.500
Pd3 Pd 0.127 0.075 0.500
```

Values from the calculation:
The value obtained for the formation energy from the elements is -581.1 meV/atom. For the spin magnetization, the calculation gives 1.12 μB per formula unit.

=====

Entry 10:
TlInBr2: optimized geometry, PBE.

The structure in CIF format:
```
data_TlInBr2
_chemical_formula_sum 'Tl3 In3 Br6'
_cell_length_a 4.6114
_cell_length_b 4.6114
_cell_length_c 24.5606
_cell_angle_alpha 90.00
_cell_angle_beta 90.00
_cell_angle_gamma 120.00
_space_group_name_H-M_alt 'R 3 m'
_space_group_IT_number 160
_space_group_name_Hall 'R 3 -2"'
loop_
_atom_site_label
_atom_site_type_symbol
_atom_site_fract_x
_atom_site_fract_y
_atom_site_fract_z
Tl1 Tl 0.0000 0.0000 0.0000
In1 In 0.0000 0.0000 0.1675
Br1 Br 0.0000 0.0000 0.5828
Br2 Br 0.0000 0.0000 0.7522
```

Values from the calculation:
For the spin magnetization, the calculation gives 0.00 μB per formula unit. The distance to the lowest polymorph of the same formula is 0.063 eV per formula unit. Its formation energy without anion corrections is -0.738 eV/atom.

=====

Entry 11:
Ta4Ir5: optimized geometry, PBE.

The structure in CIF format:
```
data_Ta4Ir5
_chemical_formula_sum 'Ta8 Ir10'
_cell_length_a 7.8380
_cell_length_b 7.8380
_cell_length_c 5.5303
_cell_angle_alpha 90.00
_cell_angle_beta 90.00
_cell_angle_gamma 120.00
_space_group_name_H-M_alt 'P 63/m c m'
_space_group_IT_number 193
_space_group_name_Hall '-P 6c 2'
loop_
_atom_site_label
_atom_site_type_symbol
_atom_site_fract_x
_atom_site_fract_y
_atom_site_fract_z
Ta1 Ta 0.0000 0.0000 0.0000
Ta2 Ta 0.0000 0.3570 0.2500
Ir1 Ir 0.0000 0.3101 0.7500
Ir2 Ir 0.3333 0.6667 0.0000
```

Values from the calculation:
The value obtained for the formation energy from the elements is -450.4 meV/atom. For the spin magnetization, the calculation gives 0.00 μB per formula unit. The distance to the lowest polymorph of the same formula is 1.172 eV per formula unit.